VASP calculation (GGA-PBE) on crystalline Ba5TlGe2 at its relaxed geometry.

## Properties
crystal system	tetragonal
E_form	-0.4513	eV/atom
volume	664.6	Å³/cell

extended XYZ file:
```
16
Lattice="-4.822 6.740 2.659 -6.692 -2.920 -4.737 2.959 -6.617 7.894" Properties=species:S:1:pos:R:3 pbc="T T T"
Ba -5.757 1.910 -1.039
Ba -6.909 3.321 2.530
Ba -5.051 -3.181 3.913
Ba -3.505 0.384 1.904
Ba -6.136 -2.075 -0.859
Ba -9.540 0.861 -0.233
Ba -1.647 -6.118 3.286
Ba -2.420 -0.722 6.676
Ba 0.984 -3.658 6.049
Ba 0.000 0.000 0.000
Ge -8.369 4.245 -0.502
Ge -7.870 0.041 -3.185
Ge -3.645 3.779 1.107
Ge -3.146 -0.425 -1.576
Tl -1.399 -2.354 3.428
Tl -7.157 -0.444 2.389
```